Here is a geometry-optimized Mg6CrCdO8 structure from Alexandria via LeMat-Bulk. Energies are from PBE+U.

```
16
Lattice="4.4251 0.0000 0.0000 0.0000 4.4251 0.0000 0.0000 0.0000 8.5907" Properties=species:S:1:pos:R:3 pbc="T T T"
Mg 0.0000 0.0000 0.0000
Mg 0.0000 2.2126 2.1115
Mg 0.0000 2.2126 6.4792
Mg 2.2126 0.0000 2.1115
Mg 2.2126 0.0000 6.4792
Mg 2.2126 2.2126 0.0000
Cr 0.0000 0.0000 4.2954
Cd 2.2126 2.2126 4.2954
O 0.0000 0.0000 2.1512
O 0.0000 0.0000 6.4395
O 0.0000 2.2126 0.0000
O 0.0000 2.2126 4.2954
O 2.2126 0.0000 0.0000
O 2.2126 0.0000 4.2954
O 2.2126 2.2126 2.0004
O 2.2126 2.2126 6.5903
```

Magnetization, μB/f.u.: 3.96
Electronic total energy, eV/atom: -5.873